The following is a DFT calculation (GGA-PBE) of LuTaIr2 after structural relaxation. Values from VASP.

E above lowest polymorph ... 0.0 meV per atom
Total magnetic moment ... 0.00 Bohr magnetons per cell
ΔE_f ... -0.63 eV per atom
Fermi-level density of states ... 1.027 states/eV/atom

```
&SYSTEM
  ibrav = 0, nat = 4, ntyp = 3
/
ATOMIC_SPECIES
Lu 174.97 Lu.upf
Ta 180.95 Ta.upf
Ir 192.22 Ir.upf
CELL_PARAMETERS angstrom
4.816 0.000 0.000
0.000 4.816 0.000
0.000 0.000 3.017
ATOMIC_POSITIONS angstrom
Lu 0.000 0.000 0.000
Ta 2.408 2.408 0.000
Ir 0.000 2.408 1.508
Ir 2.408 0.000 1.508
```

=====

The following is a DFT calculation (GGA-PBE) of Ta3Cr4 after structural relaxation. Values from VASP.

E above lowest polymorph ... 600.1 meV per atom
Total magnetic moment ... 0.00 Bohr magnetons per cell
ΔE_f ... 0.63 eV per atom
Fermi-level density of states ... 1.187 states/eV/atom

```
&SYSTEM
  ibrav = 0, nat = 7, ntyp = 2
/
ATOMIC_SPECIES
Ta 180.95 Ta.upf
Cr 52.00 Cr.upf
CELL_PARAMETERS angstrom
5.336 0.000 0.000
-2.668 4.621 0.000
0.000 0.000 4.473
ATOMIC_POSITIONS angstrom
Ta -1.334 2.311 0.000
Ta 2.668 0.000 0.000
Ta 1.334 2.311 0.000
Cr 0.000 0.000 1.267
Cr 0.000 0.000 3.206
Cr 0.000 3.081 2.237
Cr 2.668 1.540 2.237
```

=====

The following is a DFT calculation (GGA-PBE) of LiSi6 after structural relaxation. Values from VASP.

Total magnetic moment ... 0.00 Bohr magnetons per cell
E_form (uncorrected) ... 1.20 eV per formula unit
Fermi-level density of states ... 0.316 states/eV/atom

```
&SYSTEM
  ibrav = 0, nat = 7, ntyp = 2
/
ATOMIC_SPECIES
Li 6.94 Li.upf
Si 28.09 Si.upf
CELL_PARAMETERS angstrom
-3.357 3.357 3.357
3.357 -3.357 3.357
3.357 3.357 -3.357
ATOMIC_POSITIONS angstrom
Li 0.000 0.000 0.000
Si 3.357 1.678 0.000
Si 3.357 0.000 1.678
Si 1.678 3.357 0.000
Si 1.678 0.000 3.357
Si 0.000 3.357 1.678
Si 0.000 1.678 3.357
```

=====

The following is a DFT calculation (GGA-PBE) of LaMnRe4 after structural relaxation. Values from VASP.

Total magnetic moment ... 4.35 Bohr magnetons per cell
ΔE_f ... 0.38 eV per atom
Fermi-level density of states ... 0.768 states/eV/atom

```
&SYSTEM
  ibrav = 0, nat = 6, ntyp = 3
/
ATOMIC_SPECIES
La 138.91 La.upf
Mn 54.94 Mn.upf
Re 186.21 Re.upf
CELL_PARAMETERS angstrom
0.000 3.812 3.812
3.812 0.000 3.812
3.812 3.812 0.000
ATOMIC_POSITIONS angstrom
La 0.000 0.000 0.000
Mn 5.717 5.717 5.717
Re 2.864 2.864 2.864
Re 4.759 4.759 2.864
Re 4.759 2.864 4.759
Re 2.864 4.759 4.759
```

=====

The following is a DFT calculation (GGA-PBE) of SrNpB12 after structural relaxation. Values from VASP.

Total magnetic moment ... 3.98 Bohr magnetons per cell
ΔE_f ... -0.35 eV per atom
Fermi-level density of states ... 0.537 states/eV/atom

```
&SYSTEM
  ibrav = 0, nat = 14, ntyp = 3
/
ATOMIC_SPECIES
Sr 87.62 Sr.upf
Np 237.00 Np.upf
B 10.81 B.upf
CELL_PARAMETERS angstrom
0.000 4.135 4.135
4.135 0.000 4.135
4.135 4.135 0.000
ATOMIC_POSITIONS angstrom
Sr 0.000 0.000 0.000
Np 4.135 4.135 4.135
B 2.068 2.068 0.826
B 2.068 0.826 2.068
B 3.309 2.068 2.068
B 0.826 2.068 2.068
B 2.068 3.309 2.068
B 2.068 2.068 3.309
B 6.203 6.203 4.961
B 6.203 4.961 6.203
B 7.445 6.203 6.203
B 4.961 6.203 6.203
B 6.203 7.445 6.203
B 6.203 6.203 7.445
```

=====

The following is a DFT calculation (GGA-PBE) of Co4TeAu after structural relaxation. Values from VASP.

Total magnetic moment ... 6.63 Bohr magnetons per cell
E_form (uncorrected) ... 2.14 eV per formula unit
Fermi-level density of states ... 1.571 states/eV/atom

```
&SYSTEM
  ibrav = 0, nat = 6, ntyp = 3
/
ATOMIC_SPECIES
Co 58.93 Co.upf
Te 127.60 Te.upf
Au 196.97 Au.upf
CELL_PARAMETERS angstrom
0.000 3.503 3.503
3.503 0.000 3.503
3.503 3.503 0.000
ATOMIC_POSITIONS angstrom
Co 0.879 0.879 0.879
Co 2.623 2.623 0.879
Co 2.623 0.879 2.623
Co 0.879 2.623 2.623
Te 5.254 5.254 5.254
Au 3.503 3.503 3.503
```

=====

The following is a DFT calculation (GGA-PBE) of ReSn after structural relaxation. Values from VASP.

E above lowest polymorph ... 0.0 meV per atom
Total magnetic moment ... 0.00 Bohr magnetons per cell
ΔE_f ... 0.35 eV per atom
Fermi-level density of states ... 0.822 states/eV/atom

```
&SYSTEM
  ibrav = 0, nat = 12, ntyp = 2
/
ATOMIC_SPECIES
Re 186.21 Re.upf
Sn 118.71 Sn.upf
CELL_PARAMETERS angstrom
8.091 0.000 0.000
-4.046 7.007 0.000
0.000 0.000 4.400
ATOMIC_POSITIONS angstrom
Re -1.316 3.912 1.100
Re 1.316 3.912 1.100
Re 0.000 6.191 1.100
Re 4.046 0.817 3.300
Re 2.730 3.095 3.300
Re 5.361 3.095 3.300
Sn 0.000 2.462 3.300
Sn -1.913 5.776 3.300
Sn 2.132 1.231 1.100
Sn 1.913 5.776 3.300
Sn 5.959 1.231 1.100
Sn 4.046 4.545 1.100
```

=====

The following is a DFT calculation (GGA-PBE) of Ba3CaRe2N6 after structural relaxation. Values from VASP.

Total magnetic moment ... 0.00 Bohr magnetons per cell
E_form (uncorrected) ... -9.10 eV per formula unit

```
&SYSTEM
  ibrav = 0, nat = 12, ntyp = 4
/
ATOMIC_SPECIES
Ba 137.33 Ba.upf
Ca 40.08 Ca.upf
Re 186.21 Re.upf
N 14.01 N.upf
CELL_PARAMETERS angstrom
6.349 0.000 0.000
-3.175 5.499 0.000
0.000 0.000 7.296
ATOMIC_POSITIONS angstrom
Ba 0.000 0.000 0.000
Ba 0.000 3.666 5.181
Ba 3.175 1.833 2.115
Ca 0.000 0.000 3.648
Re 0.000 3.666 1.747
Re 3.175 1.833 5.549
N 0.000 1.893 2.071
N -1.535 4.552 2.071
N 1.639 0.946 5.225
N 1.535 4.552 2.071
N 4.710 0.946 5.225
N 3.175 3.606 5.225
```